# SrDySn2

Crystalline SrDySn2 at its relaxed geometry (PBE, Alexandria via LeMat-Bulk).

Computed properties:
Calculated total energy: -4.094 eV per atom
ΔH_f (0 K): -0.521 eV per atom
Size of the total moment: 0.000 μB per formula unit
Density of states at the Fermi level: 3.00 states/eV per cell

abc: 5.1393 5.1393 4.4461
angles: 90.00 90.00 90.00
Closest atoms and distances in Å follow each position.
Space group P4/mmm (No. 123)
Asymmetric unit:
Sr1 0.0000 0.0000 0.0000 x1  8 Sn 3.40, 4 Dy 3.63
Dy1 0.5000 0.5000 0.0000 x1  8 Sn 3.40, 4 Sr 3.63
Sn1 0.0000 0.5000 0.5000 x2  4 Dy 3.40, 4 Sr 3.40, 4 Sn 3.63